{"formula": "V2O5", "functional": "PBE+U", "state": "relaxed", "cell": [[4.671, 0.000, 0.000], [0.077, 6.631, 0.000], [0.055, 1.674, 6.520]], "species": ["V", "V", "V", "V", "O", "O", "O", "O", "O", "O", "O", "O", "O", "O"], "fractional_positions": [[0.106, 0.184, 0.316], [0.110, 0.283, 0.789], [0.890, 0.717, 0.211], [0.894, 0.816, 0.684], [0.004, 0.193, 0.050], [0.008, 0.116, 0.615], [0.014, 0.455, 0.300], [0.450, 0.181, 0.314], [0.456, 0.289, 0.785], [0.544, 0.711, 0.215], [0.550, 0.819, 0.686], [0.986, 0.545, 0.700], [0.992, 0.884, 0.385], [0.996, 0.807, 0.950]], "dft_energy_ev_per_atom": -7.43}